No. 1
{
  "formula": "PmCo",
  "functional": "PBE",
  "state": "relaxed",
  "lattice": [[3.597, 0.000, 0.000], [-1.799, 3.115, 0.000], [0.000, 0.000, 3.831]],
  "species": ["Pm", "Co"],
  "fractional_positions": [[0.000, 0.000, 0.000], [0.333, 0.667, 0.500]],
  "dft_energy_ev_per_cell": -11.11,
  "magmom_total_mub_per_cell": 0.6
}

No. 2
{
  "formula": "ZrZn2Au2",
  "functional": "PBE",
  "state": "relaxed",
  "lattice": [[4.073, 0.000, 0.000], [0.000, 4.073, 0.000], [0.000, 0.000, 11.025]],
  "species": ["Zr", "Zr", "Zn", "Zn", "Zn", "Zn", "Au", "Au", "Au", "Au"],
  "fractional_positions": [[0.000, 0.000, 0.000], [0.500, 0.500, 0.500], [0.000, 0.000, 0.396], [0.000, 0.000, 0.604], [0.500, 0.500, 0.104], [0.500, 0.500, 0.896], [0.000, 0.500, 0.250], [0.000, 0.500, 0.750], [0.500, 0.000, 0.250], [0.500, 0.000, 0.750]],
  "dft_energy_ev_per_cell": -36.92,
  "magmom_total_mub_per_cell": 0.2
}

No. 3
{
  "formula": "YHoAu2",
  "functional": "PBE",
  "state": "relaxed",
  "lattice": [[7.154, 0.000, 0.000], [0.000, 7.154, 0.000], [0.000, 0.000, 7.154]],
  "species": ["Y", "Y", "Y", "Y", "Ho", "Ho", "Ho", "Ho", "Au", "Au", "Au", "Au", "Au", "Au", "Au", "Au"],
  "fractional_positions": [[0.000, 0.000, 0.000], [0.000, 0.500, 0.500], [0.500, 0.000, 0.500], [0.500, 0.500, 0.000], [0.000, 0.000, 0.500], [0.000, 0.500, 0.000], [0.500, 0.000, 0.000], [0.500, 0.500, 0.500], [0.250, 0.250, 0.250], [0.250, 0.250, 0.750], [0.250, 0.750, 0.250], [0.250, 0.750, 0.750], [0.750, 0.250, 0.250], [0.750, 0.250, 0.750], [0.750, 0.750, 0.250], [0.750, 0.750, 0.750]],
  "dft_energy_ev_per_cell": -84.18,
  "magmom_total_mub_per_cell": 0.0,
  "polymorph_energy_mev_per_atom": 21
}